Entry 1:
Crystalline MgGa2S2 at its relaxed geometry, computed with GGA-PBE.

a = 7.5317 Å, b = 7.5317 Å, c = 3.6799 Å
α = 90.00°, β = 90.00°, γ = 90.00°
Last column: nearest neighbours and their distance in Å.
Space group P4/mbm (No. 127)
Inequivalent atoms, fractional coordinates:
Mg1 0.0000 0.0000 0.0000  4 Ga 3.03, 8 S 3.24
Ga1 0.1136 0.3864 0.0000  2 S 2.33, 1 Ga 2.42
S1 0.2479 0.2521 0.5000  2 Ga 2.33

Calculated values
**ΔE_f (raw)**: -0.205 eV per atom
**Energy**: -3.39 eV per atom
**Energy above the lowest structure with this stoichiometry**: 74.4 meV/atom
**DOS at the Fermi energy**: 4.30 states/eV/cell



Entry 2:
Crystalline MgGa2S4 at its relaxed geometry, computed with GGA-PBE.

a = 5.2415 Å, b = 5.2415 Å, c = 5.7356 Å
α = 90.00°, β = 90.00°, γ = 90.00°
Last column: nearest neighbours and their distance in Å.
Space group P-42m (No. 111)
Inequivalent atoms, fractional coordinates:
Mg1 0.0000 0.0000 0.0000  4 S 2.46
Ga1 0.0000 0.5000 0.5000  4 S 2.32
S1 0.2648 0.2648 0.2584  2 Ga 2.32, 1 Mg 2.46

Calculated values
**ΔE_f (raw)**: -0.889 eV per atom
**Energy**: -4.34 eV per atom
**DOS at the Fermi energy**: 0.00 states/eV/cell



Entry 3:
Crystalline Mg2GaS at its relaxed geometry, computed with GGA-PBE.

a = 6.7629 Å, b = 6.7629 Å, c = 6.7629 Å
α = 90.00°, β = 90.00°, γ = 90.00°
Last column: nearest neighbours and their distance in Å.
Space group Fm-3m (No. 225)
Inequivalent atoms, fractional coordinates:
Mg1 0.2500 0.2500 0.2500  4 Ga 2.93, 4 S 2.93
Ga1 0.0000 0.0000 0.0000  8 Mg 2.93
S1 0.0000 0.0000 0.5000  8 Mg 2.93

Calculated values
**ΔE_f (raw)**: -0.114 eV per atom
**Energy**: -2.70 eV per atom
**Energy above the lowest structure with this stoichiometry**: 318.4 meV/atom
**DOS at the Fermi energy**: 17.46 states/eV/cell



Entry 4:
Crystalline Mg3GaS at its relaxed geometry, computed with GGA-PBE.

a = 4.8301 Å, b = 4.8301 Å, c = 4.8301 Å
α = 90.00°, β = 90.00°, γ = 90.00°
Last column: nearest neighbours and their distance in Å.
Space group Pm-3m (No. 221)
Inequivalent atoms, fractional coordinates:
Mg1 0.0000 0.0000 0.5000  2 S 2.42
Ga1 0.5000 0.5000 0.5000  12 Mg 3.42
S1 0.0000 0.0000 0.0000  6 Mg 2.42

Calculated values
**ΔE_f (raw)**: -0.175 eV per atom
**Energy**: -2.56 eV per atom
**Energy above the lowest structure with this stoichiometry**: 0.0 meV/atom
**DOS at the Fermi energy**: 2.38 states/eV/cell



Entry 5:
Crystalline Mg2GaS at its relaxed geometry, computed with GGA-PBE.

a = 7.2940 Å, b = 7.2940 Å, c = 6.2756 Å
α = 90.00°, β = 90.00°, γ = 90.00°
Last column: nearest neighbours and their distance in Å.
Space group I-42d (No. 122)
Inequivalent atoms, fractional coordinates:
Mg1 0.2093 0.2500 0.1250  2 S 2.50
Ga1 0.0000 0.0000 0.5000  4 Mg 2.90, 2 S 3.14
S1 0.0000 0.0000 0.0000  4 Mg 2.50

Calculated values
**ΔE_f (raw)**: -0.432 eV per atom
**Energy**: -3.02 eV per atom
**Energy above the lowest structure with this stoichiometry**: 0.0 meV/atom
**DOS at the Fermi energy**: 4.74 states/eV/cell



Entry 6:
Crystalline Mg2GaSbS at its relaxed geometry, computed with GGA-PBE.

a = 5.3567 Å, b = 5.3567 Å, c = 5.3042 Å
α = 90.00°, β = 90.00°, γ = 90.00°
Last column: nearest neighbours and their distance in Å.
Space group P4/mmm (No. 123)
Inequivalent atoms, fractional coordinates:
Mg1 0.0000 0.5000 0.0000  2 Sb 2.68
Ga1 0.0000 0.0000 0.5000  2 Sb 2.65
Sb1 0.0000 0.0000 0.0000  2 Ga 2.65, 4 Mg 2.68
S1 0.5000 0.5000 0.5000  8 Mg 3.77, 4 Ga 3.79

Calculated values
**ΔE_f (raw)**: 0.290 eV per atom
**Energy**: -2.60 eV per atom
**DOS at the Fermi energy**: 2.68 states/eV/cell



Entry 7:
Crystalline MgGa2SiS6 at its relaxed geometry, computed with GGA-PBE.

a = 12.1880 Å, b = 12.0209 Å, c = 6.4731 Å
α = 90.00°, β = 110.63°, γ = 90.00°
Last column: nearest neighbours and their distance in Å.
Space group C2/c (No. 15)
Inequivalent atoms, fractional coordinates:
Mg1 0.0000 0.1058 0.2500  6 S 2.54-2.77
Ga1 0.1625 0.4241 0.1893  3 S 2.22-2.34
Si1 0.0000 0.1820 0.7500  4 S 2.16-2.17
S1 0.1142 0.2411 0.0673  1 Si 2.16, 1 Ga 2.34
S2 0.1167 0.0742 0.6555  1 Si 2.17
S3 0.1300 0.4151 0.5104  2 Ga 2.22-2.25

Calculated values
**ΔE_f (raw)**: -0.692 eV per atom
**Energy**: -4.48 eV per atom
**DOS at the Fermi energy**: 0.00 states/eV/cell



Entry 8:
Crystalline MgGa2SnS at its relaxed geometry, computed with GGA-PBE.

a = 5.2675 Å, b = 5.2675 Å, c = 5.3566 Å
α = 90.00°, β = 90.00°, γ = 90.00°
Last column: nearest neighbours and their distance in Å.
Space group P4/mmm (No. 123)
Inequivalent atoms, fractional coordinates:
Mg1 0.0000 0.0000 0.0000  2 Sn 2.68
Ga1 0.0000 0.5000 0.5000  2 Sn 2.63
Sn1 0.0000 0.0000 0.5000  4 Ga 2.63, 2 Mg 2.68
S1 0.5000 0.5000 0.0000  4 Mg 3.72, 8 Ga 3.76

Calculated values
**ΔE_f (raw)**: 0.397 eV per atom
**Energy**: -2.76 eV per atom
**DOS at the Fermi energy**: 1.52 states/eV/cell